No. 1
Density functional theory data (PBEsol) for Cd3P2O8 after structural relaxation.

Values from the calculation:
- Total magnetization: 0.000 μB/atom

a = 9.557 Å, b = 9.557 Å, c = 7.662 Å
α = 90.00°, β = 90.00°, γ = 72.54°
Sites, in units of the cell vectors:
Cd  0.032  0.686  0.557
Cd  0.108  0.108  0.000
Cd  0.186  0.532  0.057
Cd  0.314  0.968  0.557
Cd  0.392  0.392  0.500
Cd  0.468  0.814  0.057
Cd  0.532  0.186  0.943
Cd  0.608  0.608  0.500
Cd  0.686  0.032  0.443
Cd  0.814  0.468  0.943
Cd  0.892  0.892  0.000
Cd  0.968  0.314  0.443
P  0.182  0.818  0.295
P  0.186  0.314  0.750
P  0.314  0.186  0.250
P  0.318  0.682  0.795
P  0.682  0.318  0.205
P  0.686  0.814  0.750
P  0.814  0.686  0.250
P  0.818  0.182  0.705
O  0.093  0.373  0.917
O  0.103  0.897  0.127
O  0.116  0.884  0.471
O  0.127  0.407  0.583
O  0.155  0.179  0.273
O  0.158  0.673  0.796
O  0.173  0.658  0.296
O  0.179  0.155  0.727
O  0.321  0.345  0.227
O  0.327  0.842  0.796
O  0.342  0.827  0.296
O  0.345  0.321  0.773
O  0.373  0.093  0.083
O  0.384  0.616  0.971
O  0.397  0.603  0.627
O  0.407  0.127  0.417
O  0.593  0.873  0.583
O  0.603  0.397  0.373
O  0.616  0.384  0.029
O  0.627  0.907  0.917
O  0.655  0.679  0.227
O  0.658  0.173  0.704
O  0.673  0.158  0.204
O  0.679  0.655  0.773
O  0.821  0.845  0.273
O  0.827  0.342  0.704
O  0.842  0.327  0.204
O  0.845  0.821  0.727
O  0.873  0.593  0.417
O  0.884  0.116  0.529
O  0.897  0.103  0.873
O  0.907  0.627  0.083


No. 2
Density functional theory data (PBEsol) for Cd5P3O13 after structural relaxation.

Values from the calculation:
- Total magnetization: 0.052 μB/atom

a = 9.460 Å, b = 9.460 Å, c = 6.544 Å
α = 90.00°, β = 90.00°, γ = 120.00°
Sites, in units of the cell vectors:
Cd  0.008  0.765  0.250
Cd  0.235  0.243  0.250
Cd  0.243  0.008  0.750
Cd  0.333  0.667  0.000
Cd  0.333  0.667  0.500
Cd  0.667  0.333  0.000
Cd  0.667  0.333  0.500
Cd  0.757  0.992  0.250
Cd  0.765  0.757  0.750
Cd  0.992  0.235  0.750
P  0.024  0.399  0.250
P  0.374  0.976  0.250
P  0.399  0.374  0.750
P  0.601  0.626  0.250
P  0.626  0.024  0.750
P  0.976  0.601  0.750
O  0.000  0.000  0.250
O  0.000  0.000  0.750
O  0.079  0.339  0.061
O  0.079  0.339  0.439
O  0.125  0.590  0.250
O  0.161  0.665  0.750
O  0.260  0.921  0.061
O  0.260  0.921  0.439
O  0.335  0.496  0.750
O  0.339  0.260  0.561
O  0.339  0.260  0.939
O  0.410  0.534  0.250
O  0.466  0.875  0.250
O  0.496  0.161  0.250
O  0.504  0.839  0.750
O  0.534  0.125  0.750
O  0.590  0.466  0.750
O  0.661  0.740  0.061
O  0.661  0.740  0.439
O  0.665  0.504  0.250
O  0.740  0.079  0.561
O  0.740  0.079  0.939
O  0.839  0.335  0.250
O  0.875  0.410  0.750
O  0.921  0.661  0.561
O  0.921  0.661  0.939


Number 1: calculated volume 12.84 Å³/atom, raw formation energy -1.803 eV/atom. Number 2: calculated volume 12.07 Å³/atom, raw formation energy -1.677 eV/atom.